(1)
Here is a geometry-optimized Na2TlHg5 structure from the Alexandria database. Energies are from GGA-PBE.

Values from the calculation:
E_form = -0.1681 eV/atom
ΔE to the lowest computed polymorph = 0 meV/atom
calculated total energy = -0.982 eV per atom
total magnetization = 0.00 μB per formula unit

Lattice parameters (Å, degrees): 6.724 6.724 9.262 90.00 90.00 90.00
Space group I4mm (No. 107)
Asymmetric unit:
Na  0.000  0.500  0.000 [4 per cell]
Tl  0.000  0.000  0.000 [2 per cell]
Hg  0.000  0.000  0.500 [2 per cell]
Hg  0.250  0.250  0.250 [8 per cell]

---

(2)
Here is a geometry-optimized Na12Tl7Hg structure from the Alexandria database. Energies are from GGA-PBE.

Values from the calculation:
E_form = -0.0857 eV/atom
calculated total energy = -1.720 eV per atom
total magnetization = 0.00 μB per formula unit

Lattice parameters (Å, degrees): 13.5354 13.5354 11.3383 90.00 90.00 120.00
Space group R-3 (No. 148, hexagonal axes)
Asymmetric unit:
Na  0.0008  0.7400  0.0007 [18 per cell]
Na  0.0803  0.9159  0.7412 [18 per cell]
Tl  0.0000  0.0000  0.0000 [3 per cell]
Tl  0.0518  0.5271  0.1267 [18 per cell]
Hg  0.0000  0.0000  0.5000 [3 per cell]

---

Which of these has the highest E_form?
Na12Tl7Hg

---

What did the second record say?
Here is a geometry-optimized Na12Tl7Hg structure from the Alexandria database. Energies are from GGA-PBE.

Values from the calculation:
E_form = -0.0857 eV/atom
calculated total energy = -1.720 eV per atom
total magnetization = 0.00 μB per formula unit

Lattice parameters (Å, degrees): 13.5354 13.5354 11.3383 90.00 90.00 120.00
Space group R-3 (No. 148, hexagonal axes)
Asymmetric unit:
Na  0.0008  0.7400  0.0007 [18 per cell]
Na  0.0803  0.9159  0.7412 [18 per cell]
Tl  0.0000  0.0000  0.0000 [3 per cell]
Tl  0.0518  0.5271  0.1267 [18 per cell]
Hg  0.0000  0.0000  0.5000 [3 per cell]

---

Repeat the first record exactly.
Here is a geometry-optimized Na2TlHg5 structure from the Alexandria database. Energies are from GGA-PBE.

Values from the calculation:
E_form = -0.1681 eV/atom
ΔE to the lowest computed polymorph = 0 meV/atom
calculated total energy = -0.982 eV per atom
total magnetization = 0.00 μB per formula unit

Lattice parameters (Å, degrees): 6.724 6.724 9.262 90.00 90.00 90.00
Space group I4mm (No. 107)
Asymmetric unit:
Na  0.000  0.500  0.000 [4 per cell]
Tl  0.000  0.000  0.000 [2 per cell]
Hg  0.000  0.000  0.500 [2 per cell]
Hg  0.250  0.250  0.250 [8 per cell]

---

What is the E_form in the second record?
-0.0857 eV/atom